This record from the Alexandria database describes Sn2HgOsW at its PBEsol-relaxed geometry. The functional is SCAN.

## Properties
Raw total energy ... -268.29 eV per cell
D(E_F) ... 0.69 states/eV per atom
Space group ... P4/mmm (123)
Crystal system ... tetragonal

a b c (Å): 5.101 5.101 5.079
angles (deg): 90.00 90.00 90.00
Fractional positions:
Sn 0.000 0.500 0.000
Sn 0.500 0.000 0.000
Hg 0.000 0.000 0.000
Os 0.500 0.500 0.500
W 0.000 0.000 0.500

=====

This record from the Alexandria database describes SrHg2Os at its PBEsol-relaxed geometry. The functional is SCAN.

## Properties
Raw total energy ... -227.87 eV per cell
D(E_F) ... 0.70 states/eV per atom
Space group ... C2/m (12)
Crystal system ... monoclinic

a b c (Å): 5.803 5.803 3.007
angles (deg): 101.05 101.05 116.80
Fractional positions:
Sr 0.000 0.000 0.000
Hg 0.000 0.500 0.500
Hg 0.500 0.000 0.500
Os 0.500 0.500 0.000

=====

This record from the Alexandria database describes SrHg2Os at its PBEsol-relaxed geometry. The functional is SCAN.

## Properties
Raw total energy ... -228.77 eV per cell
D(E_F) ... 0.51 states/eV per atom
Space group ... Pmm2 (25)
Crystal system ... orthorhombic

a b c (Å): 3.565 3.575 7.248
angles (deg): 90.00 90.00 90.00
Fractional positions:
Sr 0.000 0.000 0.000
Hg 0.000 0.000 0.570
Hg 0.500 0.500 0.314
Os 0.500 0.500 0.707